An optimized crystal structure of Th3Cd5Se12. Source: the Alexandria database, functional PBE.

Output
The calculation puts the density of states at the Fermi level at 0.38 states/eV per atom. The total energy comes out at -350.041 eV/cell. The raw formation energy comes out at -943 meV per atom. Its symmetry is Ia-3d, No. 230.

abc: 14.355 14.355 14.355
angles: 109.47 109.47 109.47
Atoms (fractional coordinates):
Th  0.125  0.250  0.375
Th  0.125  0.375  0.750
Th  0.250  0.375  0.125
Th  0.250  0.875  0.625
Th  0.375  0.125  0.250
Th  0.375  0.750  0.125
Th  0.625  0.250  0.875
Th  0.625  0.875  0.750
Th  0.750  0.125  0.375
Th  0.750  0.625  0.875
Th  0.875  0.625  0.250
Th  0.875  0.750  0.625
Cd  0.000  0.000  0.000
Cd  0.000  0.000  0.500
Cd  0.000  0.500  0.000
Cd  0.000  0.500  0.500
Cd  0.125  0.750  0.875
Cd  0.125  0.875  0.250
Cd  0.250  0.125  0.875
Cd  0.250  0.625  0.375
Cd  0.375  0.250  0.625
Cd  0.375  0.625  0.750
Cd  0.500  0.000  0.000
Cd  0.500  0.000  0.500
Cd  0.500  0.500  0.000
Cd  0.500  0.500  0.500
Cd  0.625  0.375  0.250
Cd  0.625  0.750  0.375
Cd  0.750  0.375  0.625
Cd  0.750  0.875  0.125
Cd  0.875  0.125  0.750
Cd  0.875  0.250  0.125
Se  0.050  0.222  0.134
Se  0.050  0.327  0.915
Se  0.085  0.634  0.412
Se  0.085  0.950  0.673
Se  0.088  0.722  0.673
Se  0.088  0.866  0.415
Se  0.134  0.050  0.222
Se  0.134  0.585  0.912
Se  0.173  0.222  0.588
Se  0.173  0.450  0.585
Se  0.222  0.134  0.050
Se  0.222  0.588  0.173
Se  0.278  0.327  0.912
Se  0.278  0.450  0.366
Se  0.327  0.912  0.278
Se  0.327  0.915  0.050
Se  0.366  0.278  0.450
Se  0.366  0.588  0.915
Se  0.412  0.085  0.634
Se  0.412  0.827  0.778
Se  0.415  0.088  0.866
Se  0.415  0.827  0.550
Se  0.450  0.366  0.278
Se  0.450  0.585  0.173
Se  0.550  0.415  0.827
Se  0.550  0.634  0.722
Se  0.585  0.173  0.450
Se  0.585  0.912  0.134
Se  0.588  0.173  0.222
Se  0.588  0.915  0.366
Se  0.634  0.412  0.085
Se  0.634  0.722  0.550
Se  0.673  0.085  0.950
Se  0.673  0.088  0.722
Se  0.722  0.550  0.634
Se  0.722  0.673  0.088
Se  0.778  0.412  0.827
Se  0.778  0.866  0.950
Se  0.827  0.550  0.415
Se  0.827  0.778  0.412
Se  0.866  0.415  0.088
Se  0.866  0.950  0.778
Se  0.912  0.134  0.585
Se  0.912  0.278  0.327
Se  0.915  0.050  0.327
Se  0.915  0.366  0.588
Se  0.950  0.673  0.085
Se  0.950  0.778  0.866

An optimized crystal structure of ThCdSe. Source: the Alexandria database, functional PBE.

Output
The calculation puts the density of states at the Fermi level at 0.79 states/eV per atom. The total energy comes out at -28.732 eV/cell. The raw formation energy comes out at -849 meV per atom. Its symmetry is R-3m, No. 166.

abc: 8.577 8.577 8.577
angles: 33.03 33.03 33.03
Atoms (fractional coordinates):
Th  0.085  0.085  0.085
Th  0.915  0.915  0.915
Cd  0.343  0.343  0.343
Cd  0.657  0.657  0.657
Se  0.211  0.211  0.211
Se  0.789  0.789  0.789

An optimized crystal structure of TiCdSe2. Source: the Alexandria database, functional PBE.

Output
The calculation puts the density of states at the Fermi level at 0.43 states/eV per atom. The total energy comes out at -18.975 eV/cell. The raw formation energy comes out at -799 meV per atom. Its symmetry is R-3m, No. 166.

abc: 9.352 9.352 9.352
angles: 21.53 21.53 21.53
Atoms (fractional coordinates):
Ti  0.000  0.000  0.000
Cd  0.500  0.500  0.500
Se  0.391  0.391  0.391
Se  0.609  0.609  0.609

An optimized crystal structure of TiCdSe2. Source: the Alexandria database, functional PBE.

Output
The calculation puts the density of states at the Fermi level at 0.36 states/eV per atom. The total energy comes out at -36.117 eV/cell. The raw formation energy comes out at -570 meV per atom. Its symmetry is I-42d, No. 122.

abc: 7.483 7.483 7.483
angles: 132.28 132.28 69.79
Atoms (fractional coordinates):
Ti  0.000  0.000  0.000
Ti  0.750  0.250  0.500
Cd  0.250  0.750  0.500
Cd  0.500  0.500  0.000
Se  0.100  0.625  0.975
Se  0.375  0.350  0.475
Se  0.650  0.125  0.025
Se  0.875  0.900  0.525

An optimized crystal structure of Ti2CdSe. Source: the Alexandria database, functional PBE.

Output
The calculation puts the density of states at the Fermi level at 1.24 states/eV per atom. The total energy comes out at -39.043 eV/cell. The raw formation energy comes out at 167 meV per atom. For the offset from the most stable computed form, the calculation gives 232.7 meV/atom. Its symmetry is I-42d, No. 122.

abc: 10.072 10.072 10.072
angles: 156.68 156.68 33.22
Atoms (fractional coordinates):
Ti  0.105  0.625  0.980
Ti  0.375  0.355  0.480
Ti  0.645  0.125  0.020
Ti  0.875  0.895  0.520
Cd  0.250  0.750  0.500
Cd  0.500  0.500  0.000
Se  0.000  0.000  0.000
Se  0.750  0.250  0.500

An optimized crystal structure of TiCdSe3. Source: the Alexandria database, functional PBE.

Output
The calculation puts the density of states at the Fermi level at 0.61 states/eV per atom. The total energy comes out at -21.115 eV/cell. The raw formation energy comes out at -370 meV per atom. For the offset from the most stable computed form, the calculation gives 0.0 meV/atom. Its symmetry is Pm-3m, No. 221.

abc: 4.976 4.976 4.976
angles: 90.00 90.00 90.00
Atoms (fractional coordinates):
Ti  0.000  0.000  0.000
Cd  0.500  0.500  0.500
Se  0.000  0.000  0.500
Se  0.000  0.500  0.000
Se  0.500  0.000  0.000

An optimized crystal structure of Ti2Cd2Se. Source: the Alexandria database, functional PBE.

Output
The calculation puts the density of states at the Fermi level at 0.39 states/eV per atom. The total energy comes out at -45.259 eV/cell. The raw formation energy comes out at -305 meV per atom. For the offset from the most stable computed form, the calculation gives 0.0 meV/atom. Its symmetry is P4/mbm, No. 127.

abc: 6.540 6.540 4.682
angles: 90.00 90.00 90.00
Atoms (fractional coordinates):
Ti  0.154  0.346  0.000
Ti  0.346  0.846  0.000
Ti  0.654  0.154  0.000
Ti  0.846  0.654  0.000
Cd  0.154  0.654  0.500
Cd  0.346  0.154  0.500
Cd  0.654  0.846  0.500
Cd  0.846  0.346  0.500
Se  0.000  0.000  0.000
Se  0.500  0.500  0.000

An optimized crystal structure of TiCdSe2. Source: the Alexandria database, functional PBE.

Output
The calculation puts the density of states at the Fermi level at 0.49 states/eV per atom. The total energy comes out at -16.100 eV/cell. The raw formation energy comes out at -80 meV per atom. Its symmetry is R-3m, No. 166.

abc: 8.345 8.345 8.345
angles: 27.32 27.32 27.32
Atoms (fractional coordinates):
Ti  0.000  0.000  0.000
Cd  0.500  0.500  0.500
Se  0.099  0.099  0.099
Se  0.901  0.901  0.901

An optimized crystal structure of Ti2Cd2Se. Source: the Alexandria database, functional PBE.

Output
The calculation puts the density of states at the Fermi level at 1.12 states/eV per atom. The total energy comes out at -20.519 eV/cell. The raw formation energy comes out at 117 meV per atom. For the offset from the most stable computed form, the calculation gives 422.1 meV/atom. Its symmetry is I4/mmm, No. 139.

abc: 7.886 7.886 7.886
angles: 152.71 152.71 38.98
Atoms (fractional coordinates):
Ti  0.087  0.087  0.000
Ti  0.913  0.913  0.000
Cd  0.250  0.750  0.500
Cd  0.750  0.250  0.500
Se  0.500  0.500  0.000

An optimized crystal structure of Ti2CdSe. Source: the Alexandria database, functional PBE.

Output
The calculation puts the density of states at the Fermi level at 1.44 states/eV per atom. The total energy comes out at -20.452 eV/cell. The raw formation energy comes out at -66 meV per atom. For the offset from the most stable computed form, the calculation gives 0.0 meV/atom. Its symmetry is Fm-3m, No. 225.

abc: 4.656 4.656 4.656
angles: 60.00 60.00 60.00
Atoms (fractional coordinates):
Ti  0.250  0.250  0.250
Ti  0.750  0.750  0.750
Cd  0.000  0.000  0.000
Se  0.500  0.500  0.500

An optimized crystal structure of TiTl3Cd2Se6. Source: the Alexandria database, functional PBE.

Output
The calculation puts the density of states at the Fermi level at 0.30 states/eV per atom. The total energy comes out at -44.504 eV/cell. The raw formation energy comes out at -564 meV per atom. Its symmetry is C2/m, No. 12.

abc: 7.070 7.070 7.661
angles: 99.05 99.05 120.26
Atoms (fractional coordinates):
Ti  0.000  0.000  0.000
Tl  0.170  0.830  0.500
Tl  0.500  0.500  0.500
Tl  0.830  0.170  0.500
Cd  0.336  0.664  0.000
Cd  0.664  0.336  0.000
Se  0.068  0.375  0.200
Se  0.236  0.236  0.792
Se  0.375  0.068  0.200
Se  0.625  0.932  0.800
Se  0.764  0.764  0.208
Se  0.932  0.625  0.800

An optimized crystal structure of Tl2CdSe. Source: the Alexandria database, functional PBE.

Output
The calculation puts the density of states at the Fermi level at 0.22 states/eV per atom. The total energy comes out at -19.372 eV/cell. The raw formation energy comes out at -138 meV per atom. For the offset from the most stable computed form, the calculation gives 69.7 meV/atom. Its symmetry is I-42d, No. 122.

abc: 6.816 6.816 6.816
angles: 104.41 104.41 120.15
Atoms (fractional coordinates):
Tl  0.108  0.625  0.983
Tl  0.375  0.358  0.483
Tl  0.642  0.125  0.017
Tl  0.875  0.892  0.517
Cd  0.250  0.750  0.500
Cd  0.500  0.500  0.000
Se  0.000  0.000  0.000
Se  0.750  0.250  0.500